## LaTiTc2 (PBE-GGA)

Data for crystalline LaTiTc2 at its relaxed geometry.

a b c (Å): 4.677 4.677 4.677
angles (deg): 60.00 60.00 60.00
Positions (direct):
Ti 0.000 0.000 0.000
Tc 0.250 0.250 0.250
Tc 0.750 0.750 0.750
La 0.500 0.500 0.500

Properties
The total magnetization is 0.0 μB/cell. As for the formation energy: 0.37 eV/f.u. The calculation puts the theoretical density at 8.79 g/cm³. As for the space group: Fm-3m, No. 225. For the total energy, the calculation gives -8.30 eV/atom.